The following is a PBE calculation of crystalline Na2SrLiHg at its relaxed geometry, from the Alexandria database.

```
Na2SrLiHg
1.0
-1.067 -1.329 -5.521
2.372 -5.208 0.795
-4.790 -1.968 1.399
Na Sr Hg Li
2 1 1 1
direct
0.000 0.500 0.000 Na
0.500 0.000 0.000 Na
0.500 0.500 0.500 Sr
0.000 0.000 0.000 Hg
0.000 0.000 0.500 Li
```

Summary:
Energy of formation ... -0.4 kcal/mol of atoms
Distance to the lowest polymorph of the same formula ... 19 meV per atom
D(E_F) ... 0.610 states/eV/atom
Symmetry ... P4/mmm
Total magnetization ... 0.0 μB per formula unit

---

The following is a PBE calculation of crystalline NaSrLiHg2 at its relaxed geometry, from the Alexandria database.

```
NaSrLiHg2
1.0
5.218 0.000 0.000
0.000 5.218 0.000
0.000 0.000 5.020
Na Li Hg Sr
1 1 2 1
direct
0.000 0.000 0.500 Na
0.000 0.000 0.000 Li
0.000 0.500 0.000 Hg
0.500 0.000 0.000 Hg
0.500 0.500 0.500 Sr
```

Summary:
Energy of formation ... -5.0 kcal/mol of atoms
D(E_F) ... 0.474 states/eV/atom
Symmetry ... P4/mmm
Total magnetization ... 0.0 μB per formula unit

---

The following is a PBE calculation of crystalline NaSr2Li2Hg5 at its relaxed geometry, from the Alexandria database.

```
NaSr2Li2Hg5
1.0
-2.397 2.597 1.835
-6.147 -8.578 4.109
6.632 -0.359 9.173
Hg Li Na Sr
10 4 2 4
direct
0.500 0.941 0.208 Hg
0.500 0.000 0.500 Hg
0.500 0.292 0.559 Hg
0.500 0.208 0.059 Hg
0.500 0.792 0.941 Hg
0.500 0.500 0.000 Hg
0.500 0.708 0.441 Hg
0.500 0.559 0.708 Hg
0.500 0.441 0.292 Hg
0.500 0.059 0.792 Hg
0.000 0.117 0.617 Li
0.000 0.383 0.117 Li
0.000 0.617 0.883 Li
0.000 0.883 0.383 Li
0.000 0.000 0.000 Na
0.000 0.500 0.500 Na
0.000 0.680 0.180 Sr
0.000 0.320 0.820 Sr
0.000 0.180 0.320 Sr
0.000 0.820 0.680 Sr
```

Summary:
Energy of formation ... -8.5 kcal/mol of atoms
D(E_F) ... 0.671 states/eV/atom
Symmetry ... P4/mbm
Total magnetization ... 0.0 μB per formula unit